DFT (PBE) results for a geometry-optimized Ac2Pm2Pb5 structure.

Cell lengths 8.979, 8.887, 8.948 Å; angles 119.77, 90.00, 90.00 degrees
Sites, in units of the cell vectors:
Ac1 0.641 0.859 0.000
Ac2 0.359 0.141 0.000
Ac3 0.141 0.641 0.000
Ac4 0.859 0.359 0.000
Pm1 0.000 0.204 0.407
Pm2 0.500 0.704 0.407
Pm3 0.000 0.796 0.593
Pm4 0.500 0.296 0.593
Pb1 0.000 0.000 0.000
Pb2 0.500 0.500 0.000
Pb3 0.824 0.828 0.302
Pb4 0.176 0.474 0.302
Pb5 0.324 0.974 0.302
Pb6 0.676 0.328 0.302
Pb7 0.176 0.172 0.698
Pb8 0.824 0.526 0.698
Pb9 0.676 0.026 0.698
Pb10 0.324 0.672 0.698

crystal system	orthorhombic
space-group type	Cmce (64)
total magnetization	0.00	μB per formula unit
density	9.5	Mg/m³
raw total energy	-4.4080	eV per atom
energy relative to the elements	-0.38	eV per atom

---

DFT (PBE) results for a geometry-optimized AcPm2Pb2 structure.

Cell lengths 8.386, 8.386, 6.570 Å; angles 111.81, 111.81, 97.99 degrees
Sites, in units of the cell vectors:
Ac1 0.116 0.884 0.250
Ac2 0.884 0.116 0.750
Pm1 0.774 0.560 0.464
Pm2 0.440 0.226 0.036
Pm3 0.560 0.774 0.964
Pm4 0.226 0.440 0.536
Pb1 0.383 0.617 0.250
Pb2 0.838 0.162 0.250
Pb3 0.162 0.838 0.750
Pb4 0.617 0.383 0.750

crystal system	monoclinic
space-group type	C2/c (15)
total magnetization	0.01	μB per formula unit
density	8.2	Mg/m³
raw total energy	-4.4695	eV per atom
energy relative to the elements	-0.26	eV per atom

---

DFT (PBE) results for a geometry-optimized Ac5PmPb6 structure.

Cell lengths 6.154, 9.584, 10.357 Å; angles 62.44, 72.90, 50.54 degrees
Last column: magnetic moment on the atom in μB.
Sites, in units of the cell vectors:
Ac1 0.500 0.174 0.652  0.07
Ac2 0.000 0.339 0.322  0.08
Ac3 0.500 0.500 0.000  0.10
Ac4 0.000 0.661 0.678  0.08
Ac5 0.500 0.826 0.348  0.07
Pm1 0.000 0.000 0.000  0.17
Pb1 0.766 0.071 0.326  0.01
Pb2 0.234 0.603 0.326  0.01
Pb3 0.277 0.223 0.000  0.00
Pb4 0.723 0.777 0.000  0.00
Pb5 0.766 0.397 0.674  0.01
Pb6 0.234 0.929 0.674  0.01

crystal system	monoclinic
space-group type	C2/m (12)
total magnetization	1.45	μB per formula unit
density	10.0	Mg/m³
raw total energy	-4.4311	eV per atom
energy relative to the elements	-0.47	eV per atom

---

DFT (PBE) results for a geometry-optimized AcPmPb4 structure.

Cell lengths 4.873, 6.973, 11.960 Å; angles 90.00, 101.75, 90.00 degrees
Sites, in units of the cell vectors:
Ac1 0.722 0.250 0.445
Ac2 0.278 0.750 0.555
Pm1 0.427 0.250 0.853
Pm2 0.573 0.750 0.147
Pb1 0.000 0.000 0.000
Pb2 0.000 0.500 0.000
Pb3 0.148 0.991 0.296
Pb4 0.852 0.491 0.704
Pb5 0.148 0.509 0.296
Pb6 0.852 0.009 0.704
Pb7 0.575 0.250 0.149
Pb8 0.425 0.750 0.851

crystal system	orthorhombic
space-group type	Cmcm (63)
total magnetization	0.00	μB per formula unit
density	10.0	Mg/m³
raw total energy	-4.3212	eV per atom
energy relative to the elements	-0.37	eV per atom

---

DFT (PBE) results for a geometry-optimized AcPmPb4 structure.

Cell lengths 4.590, 4.590, 11.992 Å; angles 78.99, 78.99, 59.97 degrees
Sites, in units of the cell vectors:
Ac1 0.500 0.500 0.500
Pm1 0.000 0.000 0.000
Pb1 0.611 0.611 0.167
Pb2 0.389 0.389 0.833
Pb3 0.102 0.102 0.695
Pb4 0.898 0.898 0.305

crystal system	trigonal
space-group type	R-3m (166)
total magnetization	0.00	μB per formula unit
density	9.3	Mg/m³
raw total energy	-4.1789	eV per atom
energy relative to the elements	-0.23	eV per atom

---

DFT (PBE) results for a geometry-optimized AcPm4Pb5 structure.

Cell lengths 3.645, 3.645, 23.159 Å; angles 90.00, 90.00, 90.00 degrees
Sites, in units of the cell vectors:
Ac1 0.000 0.000 0.000
Pm1 0.000 0.000 0.206
Pm2 0.000 0.000 0.402
Pm3 0.000 0.000 0.598
Pm4 0.000 0.000 0.794
Pb1 0.500 0.500 0.108
Pb2 0.500 0.500 0.304
Pb3 0.500 0.500 0.500
Pb4 0.500 0.500 0.696
Pb5 0.500 0.500 0.892

crystal system	tetragonal
space-group type	P4/mmm (123)
total magnetization	0.01	μB per formula unit
density	9.9	Mg/m³
raw total energy	-4.6571	eV per atom
energy relative to the elements	-0.49	eV per atom

---

DFT (PBE) results for a geometry-optimized Ac5PmPb3 structure.

Cell lengths 7.245, 10.333, 10.331 Å; angles 120.01, 90.00, 90.00 degrees
Last column: magnetic moment on the atom in μB.
Sites, in units of the cell vectors:
Ac1 0.000 0.667 0.333  0.19
Ac2 0.500 0.333 0.667  0.19
Ac3 0.000 0.333 0.667  0.19
Ac4 0.500 0.667 0.333  0.19
Ac5 0.750 0.674 0.674  0.15
Ac6 0.750 0.000 0.326  0.15
Ac7 0.750 0.326 0.000  0.15
Ac8 0.250 0.326 0.326  0.15
Ac9 0.250 0.000 0.674  0.15
Ac10 0.250 0.674 0.000  0.15
Pm1 0.000 0.000 0.000  0.43
Pm2 0.500 0.000 0.000  0.43
Pb1 0.750 0.335 0.335  -0.02
Pb2 0.750 0.000 0.665  -0.02
Pb3 0.750 0.665 0.000  -0.02
Pb4 0.250 0.665 0.665  -0.02
Pb5 0.250 0.000 0.335  -0.02
Pb6 0.250 0.335 0.000  -0.02

crystal system	hexagonal
space-group type	P6_3/mcm (193)
total magnetization	3.07	μB per formula unit
density	9.4	Mg/m³
raw total energy	-4.3786	eV per atom
energy relative to the elements	-0.33	eV per atom

---

DFT (PBE) results for a geometry-optimized Ac3PmPb3 structure.

Cell lengths 8.366, 8.366, 8.809 Å; angles 92.20, 92.20, 113.12 degrees
Sites, in units of the cell vectors:
Ac1 0.609 0.609 0.343
Ac2 0.162 0.838 0.500
Ac3 0.838 0.162 0.500
Ac4 0.233 0.767 0.000
Ac5 0.767 0.233 0.000
Ac6 0.391 0.391 0.657
Pm1 0.753 0.753 0.907
Pm2 0.247 0.247 0.093
Pb1 0.935 0.935 0.215
Pb2 0.863 0.512 0.704
Pb3 0.512 0.863 0.704
Pb4 0.137 0.488 0.296
Pb5 0.488 0.137 0.296
Pb6 0.065 0.065 0.785

crystal system	monoclinic
space-group type	C2/m (12)
total magnetization	0.00	μB per formula unit
density	8.5	Mg/m³
raw total energy	-4.3590	eV per atom
energy relative to the elements	-0.33	eV per atom

---

DFT (PBE) results for a geometry-optimized Ac12PmPb7 structure.

Cell lengths 10.313, 10.313, 10.313 Å; angles 110.75, 110.75, 110.75 degrees
Sites, in units of the cell vectors:
Ac1 0.000 0.271 0.729
Ac2 0.729 0.271 0.000
Ac3 0.491 0.167 0.491
Ac4 0.833 0.509 0.509
Ac5 0.271 0.000 0.729
Ac6 0.509 0.509 0.833
Ac7 0.491 0.491 0.167
Ac8 0.729 0.000 0.271
Ac9 0.167 0.491 0.491
Ac10 0.509 0.833 0.509
Ac11 0.271 0.729 0.000
Ac12 0.000 0.729 0.271
Pm1 0.000 0.000 0.000
Pb1 0.866 0.561 0.866
Pb2 0.439 0.134 0.134
Pb3 0.134 0.134 0.439
Pb4 0.500 0.500 0.500
Pb5 0.866 0.866 0.561
Pb6 0.561 0.866 0.866
Pb7 0.134 0.439 0.134

crystal system	trigonal
space-group type	R-3m (166)
total magnetization	0.00	μB per formula unit
density	8.9	Mg/m³
raw total energy	-4.2630	eV per atom
energy relative to the elements	-0.26	eV per atom

---

DFT (PBE) results for a geometry-optimized Ac4PmPb2 structure.

Cell lengths 10.551, 8.729, 8.603 Å; angles 130.30, 106.09, 91.28 degrees
Sites, in units of the cell vectors:
Ac1 0.985 0.172 0.309
Ac2 0.492 0.626 0.263
Ac3 0.758 0.553 0.666
Ac4 0.837 0.089 0.701
Ac5 0.414 0.090 0.227
Ac6 0.264 0.007 0.620
Ac7 0.381 0.613 0.704
Ac8 0.868 0.566 0.224
Pm1 0.070 0.809 0.779
Pm2 0.180 0.370 0.150
Pb1 0.559 0.302 0.756
Pb2 0.691 0.876 0.173
Pb3 0.625 0.089 0.964
Pb4 0.125 0.589 0.964

crystal system	triclinic
space-group type	P1 (1)
total magnetization	0.00	μB per formula unit
density	8.7	Mg/m³
raw total energy	-4.2698	eV per atom
energy relative to the elements	-0.18	eV per atom

---

DFT (PBE) results for a geometry-optimized AcPm5Pb6 structure.

Cell lengths 9.598, 6.047, 8.041 Å; angles 67.91, 80.57, 64.16 degrees
Sites, in units of the cell vectors:
Ac1 0.000 0.000 0.000
Pm1 0.500 0.160 0.680
Pm2 0.000 0.330 0.340
Pm3 0.500 0.500 0.000
Pm4 0.000 0.670 0.660
Pm5 0.500 0.840 0.320
Pb1 0.741 0.094 0.344
Pb2 0.259 0.562 0.344
Pb3 0.248 0.273 0.000
Pb4 0.752 0.727 0.000
Pb5 0.741 0.438 0.656
Pb6 0.259 0.906 0.656

crystal system	monoclinic
space-group type	C2/m (12)
total magnetization	0.00	μB per formula unit
density	9.4	Mg/m³
raw total energy	-4.6535	eV per atom
energy relative to the elements	-0.48	eV per atom

---

DFT (PBE) results for a geometry-optimized Ac6PmPb structure.

Cell lengths 5.421, 5.421, 11.117 Å; angles 90.00, 90.00, 90.00 degrees
Sites, in units of the cell vectors:
Ac1 0.500 0.500 0.000
Ac2 0.500 0.500 0.500
Ac3 0.500 0.000 0.246
Ac4 0.500 0.000 0.754
Ac5 0.000 0.500 0.246
Ac6 0.000 0.500 0.754
Pm1 0.000 0.000 0.500
Pb1 0.000 0.000 0.000

crystal system	tetragonal
space-group type	P4/mmm (123)
total magnetization	0.00	μB per formula unit
density	8.7	Mg/m³
raw total energy	-4.2379	eV per atom
energy relative to the elements	-0.10	eV per atom

---

DFT (PBE) results for a geometry-optimized Ac5Pm2Pb4 structure.

Cell lengths 3.818, 8.826, 14.651 Å; angles 121.25, 97.49, 90.00 degrees
Sites, in units of the cell vectors:
Ac1 0.176 0.874 0.353
Ac2 0.824 0.126 0.647
Ac3 0.129 0.220 0.259
Ac4 0.500 0.000 0.000
Ac5 0.871 0.780 0.741
Pm1 0.727 0.625 0.454
Pm2 0.273 0.375 0.546
Pb1 0.587 0.476 0.173
Pb2 0.035 0.716 0.070
Pb3 0.413 0.524 0.827
Pb4 0.965 0.284 0.930

crystal system	monoclinic
space-group type	C2/m (12)
total magnetization	0.00	μB per formula unit
density	9.0	Mg/m³
raw total energy	-4.1108	eV per atom
energy relative to the elements	-0.03	eV per atom

---

DFT (PBE) results for a geometry-optimized AcPm5Pb3 structure.

Cell lengths 6.904, 9.790, 9.790 Å; angles 120.00, 90.00, 90.00 degrees
Last column: magnetic moment on the atom in μB.
Sites, in units of the cell vectors:
Ac1 0.000 0.000 0.000  0.17
Ac2 0.500 0.000 0.000  0.17
Pm1 0.000 0.667 0.333  0.34
Pm2 0.500 0.333 0.667  0.34
Pm3 0.000 0.333 0.667  0.34
Pm4 0.500 0.667 0.333  0.34
Pm5 0.750 0.664 0.664  0.23
Pm6 0.750 0.000 0.336  0.23
Pm7 0.750 0.336 0.000  0.23
Pm8 0.250 0.336 0.336  0.23
Pm9 0.250 0.000 0.664  0.23
Pm10 0.250 0.664 0.000  0.23
Pb1 0.750 0.337 0.337  -0.02
Pb2 0.750 0.000 0.663  -0.02
Pb3 0.750 0.663 0.000  -0.02
Pb4 0.250 0.663 0.663  -0.02
Pb5 0.250 0.000 0.337  -0.02
Pb6 0.250 0.337 0.000  -0.02

crystal system	hexagonal
space-group type	P6_3/mcm (193)
total magnetization	2.93	μB per formula unit
density	9.1	Mg/m³
raw total energy	-4.7375	eV per atom
energy relative to the elements	-0.41	eV per atom

---

DFT (PBE) results for a geometry-optimized Ac4Pm6Pb7 structure.

Cell lengths 9.099, 9.099, 9.099 Å; angles 109.47, 109.47, 109.47 degrees
Last column: magnetic moment on the atom in μB.
Sites, in units of the cell vectors:
Ac1 0.500 0.000 0.000  0.06
Ac2 0.500 0.500 0.500  0.06
Ac3 0.000 0.500 0.000  0.06
Ac4 0.000 0.000 0.500  0.06
Pm1 0.701 0.000 0.701  0.07
Pm2 0.701 0.701 0.000  0.07
Pm3 0.000 0.299 0.299  0.07
Pm4 0.299 0.000 0.299  0.07
Pm5 0.299 0.299 0.000  0.07
Pm6 0.000 0.701 0.701  0.07
Pb1 0.750 0.500 0.250  0.00
Pb2 0.250 0.750 0.500  0.00
Pb3 0.500 0.750 0.250  0.00
Pb4 0.750 0.250 0.500  0.00
Pb5 0.250 0.500 0.750  0.00
Pb6 0.500 0.250 0.750  0.00
Pb7 0.000 0.000 0.000  0.00

crystal system	cubic
space-group type	Im-3m (229)
total magnetization	1.37	μB per formula unit
density	9.2	Mg/m³
raw total energy	-4.3955	eV per atom
energy relative to the elements	-0.23	eV per atom

---

DFT (PBE) results for a geometry-optimized Ac4Pm7Pb6 structure.

Cell lengths 9.139, 9.139, 9.139 Å; angles 109.47, 109.47, 109.47 degrees
Last column: magnetic moment on the atom in μB.
Sites, in units of the cell vectors:
Ac1 0.500 0.000 0.000  0.07
Ac2 0.500 0.500 0.500  0.07
Ac3 0.000 0.500 0.000  0.07
Ac4 0.000 0.000 0.500  0.07
Pm1 0.750 0.500 0.250  0.13
Pm2 0.250 0.750 0.500  0.13
Pm3 0.500 0.750 0.250  0.13
Pm4 0.750 0.250 0.500  0.13
Pm5 0.250 0.500 0.750  0.13
Pm6 0.500 0.250 0.750  0.13
Pm7 0.000 0.000 0.000  -0.02
Pb1 0.696 0.000 0.696  -0.01
Pb2 0.696 0.696 0.000  -0.01
Pb3 0.000 0.304 0.304  -0.01
Pb4 0.304 0.000 0.304  -0.01
Pb5 0.304 0.304 0.000  -0.01
Pb6 0.000 0.696 0.696  -0.01

crystal system	cubic
space-group type	Im-3m (229)
total magnetization	2.36	μB per formula unit
density	8.9	Mg/m³
raw total energy	-4.5538	eV per atom
energy relative to the elements	-0.32	eV per atom

---

DFT (PBE) results for a geometry-optimized Ac4PmPb structure.

Cell lengths 9.152, 9.152, 9.152 Å; angles 110.63, 110.63, 107.17 degrees
Sites, in units of the cell vectors:
Ac1 0.246 0.942 0.696
Ac2 0.749 0.436 0.687
Ac3 0.692 0.496 0.196
Ac4 0.186 0.999 0.187
Ac5 0.300 0.496 0.804
Ac6 0.812 0.999 0.813
Ac7 0.749 0.062 0.313
Ac8 0.246 0.550 0.304
Pm1 0.260 0.260 0.000
Pm2 0.010 0.510 0.500
Pb1 0.749 0.749 0.000
Pb2 0.499 0.999 0.500

crystal system	tetragonal
space-group type	I4_1md (109)
total magnetization	0.00	μB per formula unit
density	7.1	Mg/m³
raw total energy	-3.8055	eV per atom
energy relative to the elements	0.34	eV per atom

---

DFT (PBE) results for a geometry-optimized Ac2PmPb9 structure.

Cell lengths 5.027, 5.027, 14.972 Å; angles 90.00, 90.00, 90.00 degrees
Sites, in units of the cell vectors:
Ac1 0.000 0.000 0.329
Ac2 0.000 0.000 0.671
Pm1 0.000 0.000 0.000
Pb1 0.500 0.500 0.000
Pb2 0.500 0.500 0.330
Pb3 0.500 0.500 0.670
Pb4 0.500 0.000 0.159
Pb5 0.500 0.000 0.500
Pb6 0.500 0.000 0.841
Pb7 0.000 0.500 0.159
Pb8 0.000 0.500 0.500
Pb9 0.000 0.500 0.841

crystal system	tetragonal
space-group type	P4/mmm (123)
total magnetization	0.00	μB per formula unit
density	10.8	Mg/m³
raw total energy	-4.2546	eV per atom
energy relative to the elements	-0.39	eV per atom

---

DFT (PBE) results for a geometry-optimized Ac3PmPb5 structure.

Cell lengths 6.945, 10.134, 10.134 Å; angles 120.00, 90.00, 90.00 degrees
Sites, in units of the cell vectors:
Ac1 0.750 0.382 0.000
Ac2 0.750 0.618 0.618
Ac3 0.750 0.000 0.382
Ac4 0.250 0.618 0.000
Ac5 0.250 0.382 0.382
Ac6 0.250 0.000 0.618
Pm1 0.000 0.000 0.000
Pm2 0.500 0.000 0.000
Pb1 0.000 0.333 0.667
Pb2 0.500 0.667 0.333
Pb3 0.000 0.667 0.333
Pb4 0.500 0.333 0.667
Pb5 0.750 0.719 0.000
Pb6 0.750 0.281 0.281
Pb7 0.750 0.000 0.719
Pb8 0.250 0.281 0.000
Pb9 0.250 0.719 0.719
Pb10 0.250 0.000 0.281

crystal system	hexagonal
space-group type	P6_3/mcm (193)
total magnetization	0.00	μB per formula unit
density	10.0	Mg/m³
raw total energy	-4.4428	eV per atom
energy relative to the elements	-0.49	eV per atom

---

no.,N(E_F) (states/eV per atom)
1,0.736
2,1.017
3,0.920
4,0.681
5,0.790
6,0.885
7,1.219
8,0.711
9,1.070
10,1.086
11,0.754
12,1.180
13,1.179
14,1.112
15,1.494
16,1.281
17,0.966
18,0.459
19,1.108